Below is Nd6Ge2SBr3 after structural relaxation, with properties calculated at the PBE level.

Computed properties:
formation energy from raw total energies: -1.320 eV/atom
crystal system: monoclinic
total moment: 0.0 Bohr magnetons per cell

a b c (Å): 7.302 7.302 7.764
angles (deg): 99.04 99.04 120.03
Fractional positions:
Nd: 0.931 0.605 0.793
Nd: 0.745 0.745 0.208
Nd: 0.069 0.395 0.207
Nd: 0.605 0.931 0.793
Nd: 0.255 0.255 0.792
Nd: 0.395 0.069 0.207
Ge: 0.334 0.666 0.000
Ge: 0.666 0.334 0.000
S: 0.000 0.000 0.000
Br: 0.171 0.829 0.500
Br: 0.829 0.171 0.500
Br: 0.500 0.500 0.500